Material: CaGe2H
Method: DFT, GGA-PBE
State: optimized geometry

a b c (Å): 4.7751 4.7751 4.7751
angles (deg): 60.00 60.00 60.00
Closest atoms and distances in Å follow each position.
Atoms (fractional coordinates):
H1 0.0000 0.0000 0.0000  8 Ge 2.92
Ge1 0.7500 0.7500 0.7500  4 Ca 2.92, 4 H 2.92
Ge2 0.2500 0.2500 0.2500  4 H 2.92, 4 Ca 2.92
Ca1 0.5000 0.5000 0.5000  8 Ge 2.92

The calculation puts the offset from the most stable computed form at 418 meV per atom.

Material: TbNd3Sm3S8
Method: DFT, GGA-PBE
State: optimized geometry

a b c (Å): 8.0390 8.0390 8.0633
angles (deg): 119.90 90.00 120.00
Closest atoms and distances in Å follow each position.
Atoms (fractional coordinates):
Nd1 0.5000 0.5000 0.0000  6 S 2.87
Sm1 0.0000 0.5000 0.5000  6 S 2.83
S1 0.2451 0.9966 0.7417  1 Tb 2.79, 2 Sm 2.83, 2 Nd 2.87
S2 0.7482 0.4965 0.7447  3 Sm 2.83, 3 Nd 2.87
S3 0.2518 0.5035 0.2553  3 Sm 2.83, 3 Nd 2.87
Sm2 0.5000 0.5000 0.5000  6 S 2.83
S4 0.7514 0.9966 0.7417  1 Tb 2.79, 2 Sm 2.83, 2 Nd 2.87
S5 0.2486 0.0034 0.2583  1 Tb 2.79, 2 Sm 2.83, 2 Nd 2.87
Sm3 0.5000 0.0000 0.5000  6 S 2.83
Nd2 0.0000 0.5000 0.0000  6 S 2.87
Nd3 0.0000 0.0000 0.0000  6 S 2.87
S6 0.7549 0.0034 0.2583  1 Tb 2.79, 2 Sm 2.83, 2 Nd 2.87
Tb1 0.0000 0.0000 0.5000  6 S 2.79
S7 0.7549 0.5097 0.2583  1 Tb 2.79, 2 Sm 2.83, 2 Nd 2.87
S8 0.2451 0.4903 0.7417  1 Tb 2.79, 2 Sm 2.83, 2 Nd 2.87

For the uncorrected energy, the calculation gives -96.9 eV per cell.

Material: CaIn5Rh2
Method: DFT, GGA-PBE
State: optimized geometry

a b c (Å): 4.1319 7.1425 7.1425
angles (deg): 68.89 73.19 73.19
Closest atoms and distances in Å follow each position.
Atoms (fractional coordinates):
Rh1 0.7610 0.7390 0.7390  7 In 2.64-2.83
In1 0.6491 0.1463 0.5555  3 Rh 2.69-2.83
In2 0.6491 0.5555 0.1463  3 Rh 2.69-2.83
Ca1 0.0000 0.0000 0.0000  4 Rh 3.54, 8 In 3.56
Rh2 0.2390 0.2610 0.2610  7 In 2.64-2.83
In3 0.3509 0.8537 0.4445  3 Rh 2.69-2.83
In4 0.3509 0.4445 0.8537  3 Rh 2.69-2.83
In5 0.0000 0.5000 0.5000  2 Rh 2.64

For the formation energy, the calculation gives -346 meV per atom.